# CsTmPbO3 PBE-GGA relaxed
# **Space-group type**: P2_1/m, No. 11
# **E_form (uncorrected)**: -2.20 eV per atom
data_CsTmPbO3
_cell_length_a 7.4738
_cell_length_b 3.5234
_cell_length_c 10.2924
_cell_angle_alpha 90.00
_cell_angle_beta 96.06
_cell_angle_gamma 90.00
_space_group_name_H-M_alt 'P 1'
_space_group_IT_number 1
loop_
_space_group_symop_operation_xyz
'x,y,z'
loop_
_atom_site_label
_atom_site_fract_x
_atom_site_fract_y
_atom_site_fract_z
_atom_site_occupancy
Cs1 0.1206 0.2500 0.1835 1
Cs2 0.8794 0.7500 0.8165 1
Tm1 0.4119 0.2500 0.8706 1
Tm2 0.5881 0.7500 0.1294 1
Pb1 0.2743 0.7500 0.5926 1
Pb2 0.7257 0.2500 0.4074 1
O1 0.1705 0.2500 0.7068 1
O2 0.3363 0.7500 0.9926 1
O3 0.4972 0.7500 0.7479 1
O4 0.5028 0.2500 0.2521 1
O5 0.6637 0.2500 0.0074 1
O6 0.8295 0.7500 0.2932 1

# Ho5Pd3 PBE-GGA relaxed
# **ΔE_f**: -0.70 eV/atom
# **Space-group type**: P6_3/mcm, No. 193
# **Offset from the most stable computed form**: 0.03 eV/f.u.
data_Ho5Pd3
_cell_length_a 8.4659
_cell_length_b 8.4659
_cell_length_c 6.1826
_cell_angle_alpha 90.00
_cell_angle_beta 90.00
_cell_angle_gamma 120.00
_space_group_name_H-M_alt 'P 1'
_space_group_IT_number 1
loop_
_space_group_symop_operation_xyz
'x,y,z'
loop_
_atom_site_label
_atom_site_fract_x
_atom_site_fract_y
_atom_site_fract_z
_atom_site_occupancy
Ho1 0.0000 0.2430 0.2500 1
Ho2 0.0000 0.7570 0.7500 1
Ho3 0.2430 0.0000 0.2500 1
Ho4 0.2430 0.2430 0.7500 1
Ho5 0.3333 0.6667 0.0000 1
Ho6 0.3333 0.6667 0.5000 1
Ho7 0.6667 0.3333 0.0000 1
Ho8 0.6667 0.3333 0.5000 1
Ho9 0.7570 0.0000 0.7500 1
Ho10 0.7570 0.7570 0.2500 1
Pd1 0.0000 0.3972 0.7500 1
Pd2 0.0000 0.6028 0.2500 1
Pd3 0.3972 0.0000 0.7500 1
Pd4 0.3972 0.3972 0.2500 1
Pd5 0.6028 0.0000 0.2500 1
Pd6 0.6028 0.6028 0.7500 1

# Ba2LiMgAg6 PBE-GGA relaxed
# **ΔE_f**: -0.09 eV/atom
# **Space-group type**: C2/m, No. 12
data_Ba2LiMgAg6
_cell_length_a 7.2427
_cell_length_b 7.2427
_cell_length_c 7.0922
_cell_angle_alpha 119.22
_cell_angle_beta 119.22
_cell_angle_gamma 90.62
_space_group_name_H-M_alt 'P 1'
_space_group_IT_number 1
loop_
_space_group_symop_operation_xyz
'x,y,z'
loop_
_atom_site_label
_atom_site_fract_x
_atom_site_fract_y
_atom_site_fract_z
_atom_site_occupancy
Ba1 0.2154 0.7846 0.0000 1
Ba2 0.7846 0.2154 0.0000 1
Li1 0.5000 0.5000 0.5000 1
Mg1 0.0000 0.0000 0.5000 1
Ag1 0.2625 0.7375 0.5000 1
Ag2 0.3040 0.3040 0.0139 1
Ag3 0.3075 0.3075 0.6012 1
Ag4 0.6925 0.6925 0.3988 1
Ag5 0.6960 0.6960 0.9861 1
Ag6 0.7375 0.2625 0.5000 1

# LiPrYZn PBE-GGA relaxed
# **ΔE_f**: -0.12 eV/atom
# **Space-group type**: F-43m, No. 216
# **Offset from the most stable computed form**: 0.03 eV/f.u.
data_LiPrYZn
_cell_length_a 5.2199
_cell_length_b 5.2199
_cell_length_c 5.2199
_cell_angle_alpha 60.00
_cell_angle_beta 60.00
_cell_angle_gamma 60.00
_space_group_name_H-M_alt 'P 1'
_space_group_IT_number 1
loop_
_space_group_symop_operation_xyz
'x,y,z'
loop_
_atom_site_label
_atom_site_fract_x
_atom_site_fract_y
_atom_site_fract_z
_atom_site_occupancy
Li1 0.0000 0.0000 0.0000 1
Pr1 0.7500 0.7500 0.7500 1
Y1 0.2500 0.2500 0.2500 1
Zn1 0.5000 0.5000 0.5000 1

# La3TlIBr PBE-GGA relaxed
# **Space-group type**: P2_1/m, No. 11
# **E_form (uncorrected)**: -0.90 eV per atom
data_La3TlIBr
_cell_length_a 8.4916
_cell_length_b 4.7037
_cell_length_c 10.9281
_cell_angle_alpha 90.00
_cell_angle_beta 108.79
_cell_angle_gamma 90.00
_space_group_name_H-M_alt 'P 1'
_space_group_IT_number 1
loop_
_space_group_symop_operation_xyz
'x,y,z'
loop_
_atom_site_label
_atom_site_fract_x
_atom_site_fract_y
_atom_site_fract_z
_atom_site_occupancy
La1 0.1693 0.2500 0.1167 1
La2 0.1866 0.2500 0.4796 1
La3 0.2656 0.7500 0.8056 1
La4 0.7344 0.2500 0.1944 1
La5 0.8134 0.7500 0.5204 1
La6 0.8307 0.7500 0.8833 1
Tl1 0.0103 0.7500 0.2590 1
Tl2 0.9897 0.2500 0.7410 1
I1 0.4380 0.7500 0.1197 1
I2 0.5620 0.2500 0.8803 1
Br1 0.4505 0.7500 0.6046 1
Br2 0.5495 0.2500 0.3954 1

# PmEr3Pt PBE-GGA relaxed
# **ΔE_f**: -0.39 eV/atom
# **Space-group type**: Pm-3m, No. 221
# **Offset from the most stable computed form**: 0.24 eV/f.u.
data_PmEr3Pt
_cell_length_a 5.4414
_cell_length_b 5.4414
_cell_length_c 5.4414
_cell_angle_alpha 90.00
_cell_angle_beta 90.00
_cell_angle_gamma 90.00
_space_group_name_H-M_alt 'P 1'
_space_group_IT_number 1
loop_
_space_group_symop_operation_xyz
'x,y,z'
loop_
_atom_site_label
_atom_site_fract_x
_atom_site_fract_y
_atom_site_fract_z
_atom_site_occupancy
Pm1 0.0000 0.0000 0.0000 1
Er1 0.0000 0.5000 0.5000 1
Er2 0.5000 0.0000 0.5000 1
Er3 0.5000 0.5000 0.0000 1
Pt1 0.5000 0.5000 0.5000 1

# Na3TlPd8 PBE-GGA relaxed
# **ΔE_f**: -0.15 eV/atom
# **Space-group type**: R3m, No. 160
data_Na3TlPd8
_cell_length_a 9.3134
_cell_length_b 9.3134
_cell_length_c 9.3134
_cell_angle_alpha 33.68
_cell_angle_beta 33.68
_cell_angle_gamma 33.68
_space_group_name_H-M_alt 'P 1'
_space_group_IT_number 1
loop_
_space_group_symop_operation_xyz
'x,y,z'
loop_
_atom_site_label
_atom_site_fract_x
_atom_site_fract_y
_atom_site_fract_z
_atom_site_occupancy
Na1 0.0000 0.0000 0.0000 1
Na2 0.1243 0.1243 0.1243 1
Na3 0.6269 0.6269 0.6269 1
Tl1 0.5018 0.5018 0.5018 1
Pd1 0.0626 0.0626 0.5608 1
Pd2 0.0626 0.5608 0.0626 1
Pd3 0.0655 0.5628 0.5628 1
Pd4 0.3128 0.3128 0.3128 1
Pd5 0.5608 0.0626 0.0626 1
Pd6 0.5628 0.0655 0.5628 1
Pd7 0.5628 0.5628 0.0655 1
Pd8 0.8129 0.8129 0.8129 1

Calculated values (eV/atom) of energy for the records, taken in order: -6.18; -5.51; -2.54; -3.73; -4.29; -5.29; -4.14.